[1]
A relaxed structure of CaMnCo2O, computed with GGA-PBEsol.

Output
- Formation energy without anion corrections: 0.192 eV per atom

Lattice parameters (Å, degrees): 4.342 4.342 3.651 90.00 90.00 90.00
Space group P4/mmm (No. 123)
One atom of each set of equivalent atoms:
Ca1 0.000 0.000 0.000 x1
Mn1 0.500 0.500 0.500 x1
Co1 0.000 0.500 0.500 x2
O1 0.500 0.500 0.000 x1


[2]
A relaxed structure of CePr2S4, computed with GGA-PBEsol.

Output
- Formation energy without anion corrections: -2.079 eV per atom

Lattice parameters (Å, degrees): 8.466 8.466 8.508 90.00 90.00 90.00
Space group I-42d (No. 122)
One atom of each set of equivalent atoms:
Ce1 0.000 0.000 0.000 x4
Pr1 0.119 0.750 0.625 x8
S1 0.077 0.676 0.953 x16


[3]
A relaxed structure of YMgZn2, computed with GGA-PBEsol.

Output
- ΔE_f: -0.5 eV per formula unit

Lattice parameters (Å, degrees): 3.259 3.259 7.451 90.00 90.00 90.00
Space group P4mm (No. 99)
One atom of each set of equivalent atoms:
Y1 0.000 0.000 0.000 x1
Mg1 0.500 0.500 0.670 x1
Zn1 0.000 0.000 0.440 x1
Zn2 0.500 0.500 0.262 x1


[4]
A relaxed structure of SrMo2Br, computed with GGA-PBEsol.

Output
- Offset from the most stable computed form: 0.5049 eV per atom
- Formation energy without anion corrections: 0.602 eV per atom

Lattice parameters (Å, degrees): 3.311 5.897 9.634 90.00 90.00 90.00
Space group Imm2 (No. 44)
One atom of each set of equivalent atoms:
Sr1 0.000 0.000 0.000 x2
Mo1 0.000 0.000 0.514 x2
Mo2 0.000 0.500 0.184 x2
Br1 0.000 0.500 0.778 x2


[5]
A relaxed structure of SiSeSCl2, computed with GGA-PBEsol.

Output
- Formation energy without anion corrections: 0.119 eV per atom

Lattice parameters (Å, degrees): 4.476 4.476 4.891 90.00 90.00 90.00
Space group P4/mmm (No. 123)
One atom of each set of equivalent atoms:
Si1 0.000 0.000 0.000 x1
Se1 0.500 0.500 0.500 x1
S1 0.000 0.000 0.500 x1
Cl1 0.000 0.500 0.000 x2


[6]
A relaxed structure of LaYSe, computed with GGA-PBEsol.

Output
- Formation energy without anion corrections: -0.099 eV per atom

Lattice parameters (Å, degrees): 6.791 6.791 6.791 90.00 90.00 90.00
Space group F-43m (No. 216)
One atom of each set of equivalent atoms:
La1 0.000 0.000 0.000 x4
Y1 0.250 0.250 0.750 x4
Se1 0.000 0.000 0.500 x4


[7]
A relaxed structure of CaLa2Cr, computed with GGA-PBEsol.

Output
- Offset from the most stable computed form: 0.1432 eV per atom
- ΔE_f: 2.0 eV per formula unit

Lattice parameters (Å, degrees): 5.189 5.189 8.631 90.00 90.00 90.00
Space group I-4m2 (No. 119)
One atom of each set of equivalent atoms:
Ca1 0.000 0.000 0.000 x2
La1 0.000 0.000 0.500 x2
La2 0.000 0.500 0.750 x2
Cr1 0.000 0.500 0.250 x2


[8]
A relaxed structure of CdC2F, computed with GGA-PBEsol.

Output
- Offset from the most stable computed form: 1.5214 eV per atom
- Formation energy without anion corrections: 2.224 eV per atom

Lattice parameters (Å, degrees): 5.564 5.564 5.564 90.00 90.00 90.00
Space group Fm-3m (No. 225)
One atom of each set of equivalent atoms:
Cd1 0.000 0.000 0.000 x4
C1 0.250 0.250 0.250 x8
F1 0.000 0.000 0.500 x4


[9]
A relaxed structure of K2RbRuF6, computed with GGA-PBEsol.

Output
- Formation energy without anion corrections: -2.284 eV per atom

Lattice parameters (Å, degrees): 9.070 9.070 9.070 90.00 90.00 90.00
Space group Fm-3m (No. 225)
One atom of each set of equivalent atoms:
K1 0.250 0.250 0.250 x8
Rb1 0.000 0.000 0.000 x4
Ru1 0.000 0.000 0.500 x4
F1 0.000 0.000 0.281 x24


[10]
A relaxed structure of NaCa2GaI, computed with GGA-PBEsol.

Output
- Formation energy without anion corrections: 0.347 eV per atom

Lattice parameters (Å, degrees): 6.102 6.102 5.349 90.00 90.00 90.00
Space group P4/mmm (No. 123)
One atom of each set of equivalent atoms:
Na1 0.000 0.000 0.000 x1
Ca1 0.000 0.500 0.000 x2
Ga1 0.500 0.500 0.500 x1
I1 0.000 0.000 0.500 x1


[11]
A relaxed structure of IrRu, computed with GGA-PBEsol.

Output
- Offset from the most stable computed form: 0.0428 eV per atom
- ΔE_f: 0.0 eV per formula unit

Lattice parameters (Å, degrees): 2.6843 2.6843 13.1566 90.00 90.00 120.00
Space group R-3m (No. 166, hexagonal axes)
One atom of each set of equivalent atoms:
Ir1 0.0000 0.0000 0.0000 x3
Ru1 0.0000 0.0000 0.5000 x3


[12]
A relaxed structure of ReSi2F, computed with GGA-PBEsol.

Output
- Formation energy without anion corrections: 0.172 eV per atom

Lattice parameters (Å, degrees): 5.263 5.263 10.127 90.00 90.00 90.00
Space group I-42d (No. 122)
One atom of each set of equivalent atoms:
Re1 0.000 0.000 0.000 x4
Si1 0.237 0.250 0.625 x8
F1 0.000 0.000 0.500 x4


[13]
A relaxed structure of PdPtS2N, computed with GGA-PBEsol.

Output
- Formation energy without anion corrections: 1.075 eV per atom

Lattice parameters (Å, degrees): 4.759 4.759 3.536 90.00 90.00 90.00
Space group P4/mmm (No. 123)
One atom of each set of equivalent atoms:
Pd1 0.000 0.000 0.000 x1
Pt1 0.500 0.500 0.500 x1
S1 0.000 0.500 0.000 x2
N1 0.000 0.000 0.500 x1


[14]
A relaxed structure of CeEr3, computed with GGA-PBEsol.

Output
- Offset from the most stable computed form: 0.0207 eV per atom
- ΔE_f: 0.4 eV per formula unit

Lattice parameters (Å, degrees): 4.861 4.861 9.672 90.00 90.00 90.00
Space group I4/mmm (No. 139)
One atom of each set of equivalent atoms:
Ce1 0.000 0.000 0.000 x2
Er1 0.000 0.000 0.500 x2
Er2 0.000 0.500 0.250 x4


[15]
A relaxed structure of TcW5, computed with GGA-PBEsol.

Output
- ΔE_f: 0.2 eV per formula unit

Lattice parameters (Å, degrees): 3.136 13.300 4.440 90.00 90.00 90.00
Space group Cmmm (No. 65)
One atom of each set of equivalent atoms:
Tc1 0.000 0.000 0.000 x2
W1 0.000 0.165 0.500 x4
W2 0.000 0.333 0.000 x4
W3 0.000 0.500 0.500 x2


[16]
A relaxed structure of CoRuPb2, computed with GGA-PBEsol.

Output
- Offset from the most stable computed form: 0.0979 eV per atom
- ΔE_f: 2.6 eV per formula unit

Lattice parameters (Å, degrees): 8.143 3.262 5.590 90.00 103.48 90.00
Space group C2/m (No. 12)
One atom of each set of equivalent atoms:
Co1 0.000 0.000 0.000 x2
Ru1 0.000 0.500 0.500 x2
Pb1 0.246 0.500 0.242 x4


[17]
A relaxed structure of IrOsRh, computed with GGA-PBEsol.

Output
- Offset from the most stable computed form: 0.4412 eV per atom
- ΔE_f: 1.3 eV per formula unit

Lattice parameters (Å, degrees): 3.262 3.262 8.019 90.00 90.00 90.00
Space group I4mm (No. 107)
One atom of each set of equivalent atoms:
Ir1 0.000 0.000 0.000 x2
Os1 0.000 0.000 0.664 x2
Rh1 0.000 0.000 0.333 x2


[18]
A relaxed structure of Sr2PrTlCu2O7, computed with GGA-PBEsol.

Output
- Formation energy without anion corrections: -1.872 eV per atom

Lattice parameters (Å, degrees): 3.808 3.808 12.099 90.00 90.00 90.00
Space group P4/mmm (No. 123)
One atom of each set of equivalent atoms:
Sr1 0.000 0.000 0.204 x2
Pr1 0.000 0.000 0.500 x1
Tl1 0.500 0.500 0.000 x1
Cu1 0.500 0.500 0.354 x2
O1 0.000 0.000 0.000 x1
O2 0.000 0.500 0.370 x4
O3 0.500 0.500 0.173 x2


[19]
A relaxed structure of Ti2N2O, computed with GGA-PBEsol.

Output
- Formation energy without anion corrections: -1.972 eV per atom

Lattice parameters (Å, degrees): 8.117 8.136 8.137 109.46 109.46 109.36
Space group P1 (No. 1)
One atom of each set of equivalent atoms:
Ti1 0.000 0.000 0.000 x1
Ti2 0.002 0.500 0.496 x1
Ti3 0.049 0.710 0.239 x1
Ti4 0.213 0.168 0.441 x1
Ti5 0.247 0.465 0.205 x1
Ti6 0.265 0.961 0.696 x1
Ti7 0.293 0.755 0.948 x1
Ti8 0.466 0.212 0.162 x1
Ti9 0.495 0.913 0.397 x1
Ti10 0.517 0.423 0.906 x1
Ti11 0.539 0.711 0.737 x1
Ti12 0.703 0.672 0.444 x1
Ti13 0.750 0.457 0.692 x1
Ti14 0.761 0.972 0.207 x1
Ti15 0.795 0.257 0.958 x1
Ti16 0.964 0.211 0.652 x1
N1 0.017 0.449 0.238 x1
N2 0.027 0.499 0.750 x1
N3 0.241 0.684 0.147 x1
N4 0.262 0.233 0.243 x1
N5 0.295 0.731 0.693 x1
N6 0.306 0.972 0.477 x1
N7 0.477 0.689 0.471 x1
N8 0.478 0.423 0.651 x1
N9 0.524 0.008 0.204 x1
N10 0.524 0.186 0.932 x1
N11 0.711 0.415 0.424 x1
N12 0.743 0.998 0.960 x1
N13 0.765 0.921 0.435 x1
N14 0.791 0.511 0.973 x1
N15 0.976 0.907 0.184 x1
N16 0.987 0.235 0.422 x1
O1 0.027 0.230 0.921 x1
O2 0.196 0.947 0.918 x1
O3 0.206 0.191 0.706 x1
O4 0.491 0.476 0.157 x1
O5 0.513 0.682 0.973 x1
O6 0.705 0.188 0.657 x1
O7 0.807 0.737 0.738 x1
O8 0.980 0.737 0.467 x1


[20]
A relaxed structure of MgSc3Ru, computed with GGA-PBEsol.

Output
- ΔE_f: -0.2 eV per formula unit

Lattice parameters (Å, degrees): 4.964 4.964 4.964 90.00 90.00 90.00
Space group Pm-3m (No. 221)
One atom of each set of equivalent atoms:
Mg1 0.000 0.000 0.000 x1
Sc1 0.000 0.500 0.500 x3
Ru1 0.500 0.500 0.500 x1


Number 1: total magnetic moment 1.4 μB/f.u.. Number 2: total magnetic moment 1.4 μB/f.u.. Number 3: total magnetic moment 0.1 μB/f.u.. Number 4: total magnetic moment 0.0 μB/f.u.. Number 5: total magnetic moment 0.6 μB/f.u.. Number 6: total magnetic moment 0.0 μB/f.u.. Number 7: total magnetic moment 3.3 μB/f.u.. Number 8: total magnetic moment 0.0 μB/f.u.. Number 9: total magnetic moment 1.0 μB/f.u.. Number 10: total magnetic moment 0.0 μB/f.u.. Number 11: total magnetic moment 0.0 μB/f.u.. Number 12: total magnetic moment 0.0 μB/f.u.. Number 13: total magnetic moment 0.0 μB/f.u.. Number 14: total magnetic moment 0.7 μB/f.u.. Number 15: total magnetic moment 0.0 μB/f.u.. Number 16: total magnetic moment 0.7 μB/f.u.. Number 17: total magnetic moment 0.7 μB/f.u.. Number 18: total magnetic moment 0.0 μB/f.u.. Number 19: total magnetic moment 0.0 μB/f.u.. Number 20: total magnetic moment 0.0 μB/f.u..